Model w:
# Dy3TcTe (PBE, relaxed)
data_Dy3TcTe
_cell_length_a 7.905
_cell_length_b 7.905
_cell_length_c 8.473
_cell_angle_alpha 112.92
_cell_angle_beta 112.92
_cell_angle_gamma 35.41
_symmetry_space_group_name_H-M 'P 1'
_symmetry_Int_Tables_number 1
loop_
_symmetry_equiv_pos_as_xyz
'x,y,z'
loop_
_atom_site_label
_atom_site_fract_x
_atom_site_fract_y
_atom_site_fract_z
_atom_site_occupancy
Dy1 0.067 0.067 0.208 1
Dy2 0.240 0.240 0.742 1
Dy3 0.394 0.394 0.153 1
Dy4 0.606 0.606 0.847 1
Dy5 0.760 0.760 0.258 1
Dy6 0.933 0.933 0.792 1
Tc1 0.174 0.174 0.011 1
Tc2 0.826 0.826 0.989 1
Te1 0.376 0.376 0.529 1
Te2 0.624 0.624 0.471 1
# **Symmetry**: C2/m, No. 12



Model x:
# Dy3TcTe (PBE, relaxed)
data_Dy3TcTe
_cell_length_a 6.375
_cell_length_b 6.375
_cell_length_c 11.552
_cell_angle_alpha 114.86
_cell_angle_beta 114.86
_cell_angle_gamma 39.58
_symmetry_space_group_name_H-M 'P 1'
_symmetry_Int_Tables_number 1
loop_
_symmetry_equiv_pos_as_xyz
'x,y,z'
loop_
_atom_site_label
_atom_site_fract_x
_atom_site_fract_y
_atom_site_fract_z
_atom_site_occupancy
Dy1 0.036 0.036 0.364 1
Dy2 0.326 0.326 0.121 1
Dy3 0.372 0.372 0.833 1
Dy4 0.628 0.628 0.167 1
Dy5 0.674 0.674 0.879 1
Dy6 0.964 0.964 0.636 1
Tc1 0.044 0.044 0.919 1
Tc2 0.956 0.956 0.081 1
Te1 0.328 0.328 0.397 1
Te2 0.672 0.672 0.603 1
# **Symmetry**: C2/m, No. 12



On energetic grounds, model x is preferred over the next structure by 5.0 kJ/mol of atoms.



Model w:
# DyTh2Tc (PBE, relaxed)
data_DyTh2Tc
_cell_length_a 10.460
_cell_length_b 10.460
_cell_length_c 10.460
_cell_angle_alpha 21.09
_cell_angle_beta 21.09
_cell_angle_gamma 21.09
_symmetry_space_group_name_H-M 'P 1'
_symmetry_Int_Tables_number 1
loop_
_symmetry_equiv_pos_as_xyz
'x,y,z'
loop_
_atom_site_label
_atom_site_fract_x
_atom_site_fract_y
_atom_site_fract_z
_atom_site_occupancy
Dy1 0.000 0.000 0.000 1
Th1 0.112 0.112 0.112 1
Th2 0.888 0.888 0.888 1
Tc1 0.500 0.500 0.500 1
# **Symmetry**: R-3m, No. 166



Model x:
# DyTh2Tc (PBE, relaxed)
data_DyTh2Tc
_cell_length_a 3.550
_cell_length_b 3.550
_cell_length_c 8.631
_cell_angle_alpha 90.00
_cell_angle_beta 90.00
_cell_angle_gamma 90.00
_symmetry_space_group_name_H-M 'P 1'
_symmetry_Int_Tables_number 1
loop_
_symmetry_equiv_pos_as_xyz
'x,y,z'
loop_
_atom_site_label
_atom_site_fract_x
_atom_site_fract_y
_atom_site_fract_z
_atom_site_occupancy
Dy1 0.000 0.000 0.000 1
Th1 0.500 0.500 0.293 1
Th2 0.500 0.500 0.707 1
Tc1 0.000 0.000 0.500 1
# **Symmetry**: P4/mmm, No. 123



On energetic grounds, model x is preferred over the next structure by 29.0 kJ/mol of atoms.